The following is a DFT calculation (GGA-PBE) of crystalline K12NaHg5 at its relaxed geometry.

Structure (CIF):
```
data_K12NaHg5
_cell_length_a 11.6653
_cell_length_b 11.6794
_cell_length_c 13.0783
_cell_angle_alpha 90.00
_cell_angle_beta 90.00
_cell_angle_gamma 90.00
_symmetry_space_group_name_H-M 'I m m m'
_symmetry_Int_Tables_number 71
_symmetry_space_group_name_Hall '-I 2 2'
loop_
_atom_site_label
_atom_site_type_symbol
_atom_site_fract_x
_atom_site_fract_y
_atom_site_fract_z
K1 K 0.0000 0.1968 0.2310
K2 K 0.1982 0.5000 0.1760
K3 K 0.2243 0.3177 0.5000
Na1 Na 0.0000 0.0000 0.5000
Hg1 Hg 0.0000 0.0000 0.0000
Hg2 Hg 0.0000 0.3665 0.0000
Hg3 Hg 0.0000 0.5000 0.3842
```

Values from the calculation:
- calculated total energy (eV per formula unit) = -18.48
- total moment (Bohr magnetons per cell) = 0.00

=====

The following is a DFT calculation (GGA-PBE) of crystalline K12Na5Hg2 at its relaxed geometry.

Structure (CIF):
```
data_K12Na5Hg2
_cell_length_a 15.7441
_cell_length_b 13.0118
_cell_length_c 10.1960
_cell_angle_alpha 90.00
_cell_angle_beta 102.46
_cell_angle_gamma 90.00
_symmetry_space_group_name_H-M 'C 1 2/m 1'
_symmetry_Int_Tables_number 12
_symmetry_space_group_name_Hall '-C 2y'
loop_
_atom_site_label
_atom_site_type_symbol
_atom_site_fract_x
_atom_site_fract_y
_atom_site_fract_z
K1 K 0.1000 0.0000 0.2227
K2 K 0.1061 0.5000 0.6501
K3 K 0.1072 0.2321 0.8679
K4 K 0.1646 0.3179 0.3298
Na1 Na 0.0000 0.5000 0.0000
Na2 Na 0.1101 0.0000 0.6008
Na3 Na 0.2327 0.5000 0.0413
Hg1 Hg 0.0000 0.2149 0.5000
```

Values from the calculation:
- ΔE to the lowest computed polymorph (eV per formula unit) = 0.00
- total moment (Bohr magnetons per cell) = 0.00

=====

The following is a DFT calculation (GGA-PBE) of crystalline K3Na3Hg2 at its relaxed geometry.

Structure (CIF):
```
data_K3Na3Hg2
_cell_length_a 5.2866
_cell_length_b 6.5491
_cell_length_c 10.4266
_cell_angle_alpha 98.85
_cell_angle_beta 104.51
_cell_angle_gamma 90.10
_symmetry_space_group_name_H-M 'P -1'
_symmetry_Int_Tables_number 2
_symmetry_space_group_name_Hall '-P 1'
loop_
_atom_site_label
_atom_site_type_symbol
_atom_site_fract_x
_atom_site_fract_y
_atom_site_fract_z
K1 K 0.0000 0.0000 0.0000
K2 K 0.1651 0.5881 0.3296
Na1 Na 0.3619 0.9041 0.7222
Na2 Na 0.5000 0.5000 0.0000
Hg1 Hg 0.2281 0.1123 0.4580
```

Values from the calculation:
- ΔE to the lowest computed polymorph (eV per formula unit) = 0.17
- total moment (Bohr magnetons per cell) = 0.00

=====

The following is a DFT calculation (GGA-PBE) of crystalline K5Na6Hg at its relaxed geometry.

Structure (CIF):
```
data_K5Na6Hg
_cell_length_a 6.2985
_cell_length_b 19.6733
_cell_length_c 9.3146
_cell_angle_alpha 90.00
_cell_angle_beta 90.20
_cell_angle_gamma 90.00
_symmetry_space_group_name_H-M 'C 1 2/m 1'
_symmetry_Int_Tables_number 12
_symmetry_space_group_name_Hall '-C 2y'
loop_
_atom_site_label
_atom_site_type_symbol
_atom_site_fract_x
_atom_site_fract_y
_atom_site_fract_z
K1 K 0.0000 0.0000 0.0000
K2 K 0.0000 0.3215 0.5000
K3 K 0.0000 0.3252 0.0000
Na1 Na 0.9996 0.1303 0.2918
Na2 Na 0.0021 0.5000 0.3073
Hg1 Hg 0.0000 0.0000 0.5000
```

Values from the calculation:
- calculated total energy (eV per formula unit) = -13.82
- total moment (Bohr magnetons per cell) = 0.00

=====

The following is a DFT calculation (GGA-PBE) of crystalline KNa5Hg3 at its relaxed geometry.

Structure (CIF):
```
data_KNa5Hg3
_cell_length_a 9.5526
_cell_length_b 9.5526
_cell_length_c 6.9344
_cell_angle_alpha 90.00
_cell_angle_beta 90.00
_cell_angle_gamma 120.00
_symmetry_space_group_name_H-M 'P 63/m c m'
_symmetry_Int_Tables_number 193
_symmetry_space_group_name_Hall '-P 6c 2'
loop_
_atom_site_label
_atom_site_type_symbol
_atom_site_fract_x
_atom_site_fract_y
_atom_site_fract_z
K1 K 0.0000 0.0000 0.0000
Na1 Na 0.0000 0.3442 0.2500
Na2 Na 0.3333 0.6667 0.0000
Hg1 Hg 0.0000 0.3340 0.7500
```

Values from the calculation:
- calculated total energy (eV per formula unit) = -10.07
- total moment (Bohr magnetons per cell) = 0.00

=====

The following is a DFT calculation (GGA-PBE) of crystalline K5NaHg2 at its relaxed geometry.

Structure (CIF):
```
data_K5NaHg2
_cell_length_a 9.3746
_cell_length_b 9.3746
_cell_length_c 17.9824
_cell_angle_alpha 90.00
_cell_angle_beta 90.00
_cell_angle_gamma 90.00
_symmetry_space_group_name_H-M 'I 4/m c m'
_symmetry_Int_Tables_number 140
_symmetry_space_group_name_Hall '-I 4 2c'
loop_
_atom_site_label
_atom_site_type_symbol
_atom_site_fract_x
_atom_site_fract_y
_atom_site_fract_z
K1 K 0.0000 0.0000 0.0000
K2 K 0.1676 0.3324 0.1373
Na1 Na 0.0000 0.0000 0.2500
Hg1 Hg 0.1179 0.3821 0.5000
```

Values from the calculation:
- calculated total energy (eV per formula unit) = -8.43
- total moment (Bohr magnetons per cell) = 0.00

=====

The following is a DFT calculation (GGA-PBE) of crystalline KNa2Hg6 at its relaxed geometry.

Structure (CIF):
```
data_KNa2Hg6
_cell_length_a 16.1191
_cell_length_b 8.9752
_cell_length_c 3.6197
_cell_angle_alpha 90.00
_cell_angle_beta 101.58
_cell_angle_gamma 90.00
_symmetry_space_group_name_H-M 'C 1 2/m 1'
_symmetry_Int_Tables_number 12
_symmetry_space_group_name_Hall '-C 2y'
loop_
_atom_site_label
_atom_site_type_symbol
_atom_site_fract_x
_atom_site_fract_y
_atom_site_fract_z
K1 K 0.0000 0.0000 0.0000
Na1 Na 0.1467 0.5000 0.1290
Hg1 Hg 0.0000 0.3335 0.5000
Hg2 Hg 0.1760 0.1774 0.6709
```

Values from the calculation:
- ΔE to the lowest computed polymorph (eV per formula unit) = 0.02
- total moment (Bohr magnetons per cell) = 0.00

=====

The following is a DFT calculation (GGA-PBE) of crystalline KNaHg at its relaxed geometry.

Structure (CIF):
```
data_KNaHg
_cell_length_a 4.1406
_cell_length_b 4.1406
_cell_length_c 12.9984
_cell_angle_alpha 90.00
_cell_angle_beta 90.00
_cell_angle_gamma 90.00
_symmetry_space_group_name_H-M 'I 4 m m'
_symmetry_Int_Tables_number 107
_symmetry_space_group_name_Hall 'I 4 -2'
loop_
_atom_site_label
_atom_site_type_symbol
_atom_site_fract_x
_atom_site_fract_y
_atom_site_fract_z
K1 K 0.0000 0.0000 0.0000
Na1 Na 0.0000 0.0000 0.7183
Hg1 Hg 0.0000 0.0000 0.3260
```

Values from the calculation:
- ΔE to the lowest computed polymorph (eV per formula unit) = 0.08
- total moment (Bohr magnetons per cell) = 0.00